# PBE-GGA Tb2ErSbC, relaxed
# V	116	Å³ per cell
# ΔE_f (raw)	-0.6182	eV/atom
data_Tb2ErSbC
_space_group_name_H-M_alt 'P 4/m m m'
_space_group_IT_number 123
_space_group_name_Hall '-P 4 2'
_cell_length_a 4.908
_cell_length_b 4.908
_cell_length_c 4.810
_cell_angle_alpha 90.00
_cell_angle_beta 90.00
_cell_angle_gamma 90.00
loop_
_atom_site_label
_atom_site_fract_x
_atom_site_fract_y
_atom_site_fract_z
Tb1 0.000 0.500 0.000
Er1 0.000 0.000 0.500
Sb1 0.500 0.500 0.500
C1 0.000 0.000 0.000